Computed, not measured: crystalline BaRuSCl2 at its relaxed geometry at the PBE-GGA level of DFT.

Values from the calculation:
VASP energy   -3.598 eV/atom
Volume   205 Å³/cell
E_form (uncorrected)   0.21 eV/atom

Structure (POSCAR):
```
BaRuSCl2
1.0
5.811 0.000 0.000
0.000 5.811 0.000
0.000 0.000 6.073
Ba Ru S Cl
1 1 1 2
direct
0.000 0.000 0.000
0.500 0.500 0.500
0.000 0.000 0.500
0.000 0.500 0.000
0.500 0.000 0.000
```